Computed, not measured: an optimized crystal structure of TaNb2H2 at the PBE level of DFT.

Cell and atoms, written as CIF:
```
data_TaNb2H2
_cell_length_a 2.872
_cell_length_b 2.872
_cell_length_c 7.604
_cell_angle_alpha 90.00
_cell_angle_beta 90.00
_cell_angle_gamma 90.00
_space_group_name_H-M_alt 'P 4/m m m'
_space_group_IT_number 123
_space_group_name_Hall '-P 4 2'
loop_
_atom_site_label
_atom_site_type_symbol
_atom_site_fract_x
_atom_site_fract_y
_atom_site_fract_z
Ta1 Ta 0.000 0.000 0.000
Nb1 Nb 0.500 0.500 0.302
H1 H 0.000 0.500 0.500
```

Summary:
Relative energy among the computed polymorphs (eV per atom): 0.3116
Size of the total moment (μB/f.u.): 0.00